1.
Er2PdPt2 | PBE | optimized geometry

Values from the calculation:
ΔE_f	-1.137	eV per atom
crystal system	monoclinic

```
data_Er2PdPt2
_chemical_formula_sum 'Er8 Pd4 Pt8'
_cell_length_a 9.853
_cell_length_b 5.496
_cell_length_c 7.733
_cell_angle_alpha 90.00
_cell_angle_beta 107.66
_cell_angle_gamma 90.00
_space_group_name_H-M_alt 'C 1 2/c 1'
_space_group_IT_number 15
loop_
_space_group_symop_operation_xyz
'x,y,z'
'-x,-y,-z'
'-x,y,-z+1/2'
'x,-y,z+1/2'
'x+1/2,y+1/2,z'
'-x+1/2,-y+1/2,-z'
'-x+1/2,y+1/2,-z+1/2'
'x+1/2,-y+1/2,z+1/2'
loop_
_atom_site_label
_atom_site_type_symbol
_atom_site_fract_x
_atom_site_fract_y
_atom_site_fract_z
Er1 Er 0.154 0.138 0.150
Pd1 Pd 0.000 0.250 0.750
Pt1 Pt 0.128 0.375 0.492
```



2.
Tb2CeZr | PBE | optimized geometry

Values from the calculation:
ΔE_f	0.121	eV per atom
crystal system	tetragonal

```
data_Tb2CeZr
_chemical_formula_sum 'Tb2 Ce1 Zr1'
_cell_length_a 4.812
_cell_length_b 4.812
_cell_length_c 4.939
_cell_angle_alpha 90.00
_cell_angle_beta 90.00
_cell_angle_gamma 90.00
_space_group_name_H-M_alt 'P 4/m m m'
_space_group_IT_number 123
_space_group_name_Hall '-P 4 2'
loop_
_atom_site_label
_atom_site_type_symbol
_atom_site_fract_x
_atom_site_fract_y
_atom_site_fract_z
Tb1 Tb 0.000 0.500 0.000
Ce1 Ce 0.000 0.000 0.500
Zr1 Zr 0.500 0.500 0.500
```



3.
Th2Pt3Rh3 | PBE | optimized geometry

Values from the calculation:
ΔE_f	-0.953	eV per atom
crystal system	orthorhombic

```
data_Th2Pt3Rh3
_chemical_formula_sum 'Th2 Pt3 Rh3'
_cell_length_a 4.105
_cell_length_b 4.173
_cell_length_c 8.526
_cell_angle_alpha 90.00
_cell_angle_beta 90.00
_cell_angle_gamma 90.00
_space_group_name_H-M_alt 'P m m m'
_space_group_IT_number 47
loop_
_space_group_symop_operation_xyz
'x,y,z'
'-x,-y,-z'
'-x,-y,z'
'x,y,-z'
'x,-y,-z'
'-x,y,z'
'-x,y,-z'
'x,-y,z'
loop_
_atom_site_label
_atom_site_type_symbol
_atom_site_fract_x
_atom_site_fract_y
_atom_site_fract_z
Th1 Th 0.000 0.000 0.246
Pt1 Pt 0.000 0.500 0.000
Pt2 Pt 0.000 0.500 0.500
Pt3 Pt 0.500 0.000 0.500
Rh1 Rh 0.500 0.000 0.000
Rh2 Rh 0.500 0.500 0.249
```



4.
KMnS2Cl | PBE | optimized geometry

Values from the calculation:
crystal system	tetragonal
E_form (uncorrected)	388	kJ/mol of formula units

```
data_KMnS2Cl
_chemical_formula_sum 'K1 Mn1 S2 Cl1'
_cell_length_a 5.518
_cell_length_b 5.518
_cell_length_c 5.412
_cell_angle_alpha 90.00
_cell_angle_beta 90.00
_cell_angle_gamma 90.00
_space_group_name_H-M_alt 'P 4/m m m'
_space_group_IT_number 123
_space_group_name_Hall '-P 4 2'
loop_
_atom_site_label
_atom_site_type_symbol
_atom_site_fract_x
_atom_site_fract_y
_atom_site_fract_z
K1 K 0.000 0.000 0.000
Mn1 Mn 0.500 0.500 0.500
S1 S 0.000 0.500 0.000
Cl1 Cl 0.000 0.000 0.500
```



5.
LiY2FeC | PBE | optimized geometry

Values from the calculation:
ΔE_f	-0.189	eV per atom
crystal system	tetragonal

```
data_LiY2FeC
_chemical_formula_sum 'Li1 Y2 Fe1 C1'
_cell_length_a 5.000
_cell_length_b 5.000
_cell_length_c 3.679
_cell_angle_alpha 90.00
_cell_angle_beta 90.00
_cell_angle_gamma 90.00
_space_group_name_H-M_alt 'P 4/m m m'
_space_group_IT_number 123
_space_group_name_Hall '-P 4 2'
loop_
_atom_site_label
_atom_site_type_symbol
_atom_site_fract_x
_atom_site_fract_y
_atom_site_fract_z
Li1 Li 0.000 0.000 0.000
Y1 Y 0.000 0.500 0.500
Fe1 Fe 0.500 0.500 0.000
C1 C 0.500 0.500 0.500
```



6.
Nd2Y8Ho3 | PBE | optimized geometry

Values from the calculation:
ΔE_f	0.146	eV per atom
crystal system	orthorhombic

```
data_Nd2Y8Ho3
_chemical_formula_sum 'Nd4 Y16 Ho6'
_cell_length_a 11.765
_cell_length_b 20.748
_cell_length_c 3.526
_cell_angle_alpha 90.00
_cell_angle_beta 90.00
_cell_angle_gamma 90.00
_space_group_name_H-M_alt 'P b a m'
_space_group_IT_number 55
loop_
_space_group_symop_operation_xyz
'x,y,z'
'-x,-y,-z'
'-x,-y,z'
'x,y,-z'
'x+1/2,-y+1/2,-z'
'-x+1/2,y+1/2,z'
'-x+1/2,y+1/2,-z'
'x+1/2,-y+1/2,z'
loop_
_atom_site_label
_atom_site_type_symbol
_atom_site_fract_x
_atom_site_fract_y
_atom_site_fract_z
Nd1 Nd 0.179 0.099 0.000
Y1 Y 0.046 0.572 0.000
Y2 Y 0.055 0.841 0.500
Y3 Y 0.129 0.286 0.000
Y4 Y 0.208 0.447 0.500
Ho1 Ho 0.000 0.000 0.500
Ho2 Ho 0.145 0.701 0.500
```



7.
Cd2PtW | PBE | optimized geometry

Values from the calculation:
ΔE_f	0.311	eV per atom
crystal system	orthorhombic

```
data_Cd2PtW
_chemical_formula_sum 'Cd4 Pt2 W2'
_cell_length_a 2.840
_cell_length_b 4.979
_cell_length_c 10.138
_cell_angle_alpha 90.00
_cell_angle_beta 90.00
_cell_angle_gamma 90.00
_space_group_name_H-M_alt 'I m m m'
_space_group_IT_number 71
_space_group_name_Hall '-I 2 2'
loop_
_atom_site_label
_atom_site_type_symbol
_atom_site_fract_x
_atom_site_fract_y
_atom_site_fract_z
Cd1 Cd 0.000 0.000 0.242
Pt1 Pt 0.000 0.500 0.500
W1 W 0.000 0.500 0.000
```



8.
PuGeMo | PBE | optimized geometry

Values from the calculation:
ΔE_f	-0.042	eV per atom
crystal system	monoclinic

```
data_PuGeMo
_chemical_formula_sum 'Pu4 Ge4 Mo4'
_cell_length_a 4.998
_cell_length_b 4.535
_cell_length_c 8.962
_cell_angle_alpha 90.00
_cell_angle_beta 95.03
_cell_angle_gamma 90.00
_space_group_name_H-M_alt 'C 1 2/m 1'
_space_group_IT_number 12
loop_
_space_group_symop_operation_xyz
'x,y,z'
'-x,-y,-z'
'-x,y,-z'
'x,-y,z'
'x+1/2,y+1/2,z'
'-x+1/2,-y+1/2,-z'
'-x+1/2,y+1/2,-z'
'x+1/2,-y+1/2,z'
loop_
_atom_site_label
_atom_site_type_symbol
_atom_site_fract_x
_atom_site_fract_y
_atom_site_fract_z
Pu1 Pu 0.215 0.000 0.056
Ge1 Ge 0.227 0.500 0.268
Mo1 Mo 0.229 0.000 0.419
```



9.
K2AsPb | PBE | optimized geometry

Values from the calculation:
ΔE_f	-0.131	eV per atom
crystal system	orthorhombic

```
data_K2AsPb
_chemical_formula_sum 'K4 As2 Pb2'
_cell_length_a 5.589
_cell_length_b 5.602
_cell_length_c 10.055
_cell_angle_alpha 90.00
_cell_angle_beta 90.00
_cell_angle_gamma 90.00
_space_group_name_H-M_alt 'C m m 2'
_space_group_IT_number 35
loop_
_space_group_symop_operation_xyz
'x,y,z'
'-x,-y,z'
'-x,y,z'
'x,-y,z'
'x+1/2,y+1/2,z'
'-x+1/2,-y+1/2,z'
'-x+1/2,y+1/2,z'
'x+1/2,-y+1/2,z'
loop_
_atom_site_label
_atom_site_type_symbol
_atom_site_fract_x
_atom_site_fract_y
_atom_site_fract_z
K1 K 0.000 0.000 0.000
K2 K 0.000 0.500 0.413
As1 As 0.000 0.000 0.638
Pb1 Pb 0.000 0.500 0.756
```



10.
Pm2AlGe2 | PBE | optimized geometry

Values from the calculation:
ΔE_f	-0.722	eV per atom
crystal system	tetragonal

```
data_Pm2AlGe2
_chemical_formula_sum 'Pm4 Al2 Ge4'
_cell_length_a 7.126
_cell_length_b 7.126
_cell_length_c 4.495
_cell_angle_alpha 90.00
_cell_angle_beta 90.00
_cell_angle_gamma 90.00
_space_group_name_H-M_alt 'P 4/m b m'
_space_group_IT_number 127
_space_group_name_Hall '-P 4 2ab'
loop_
_atom_site_label
_atom_site_type_symbol
_atom_site_fract_x
_atom_site_fract_y
_atom_site_fract_z
Pm1 Pm 0.178 0.322 0.000
Al1 Al 0.000 0.000 0.500
Ge1 Ge 0.127 0.627 0.500
```



11.
RbMnPt | PBE | optimized geometry

Values from the calculation:
ΔE_f	0.278	eV per atom
crystal system	orthorhombic

```
data_RbMnPt
_chemical_formula_sum 'Rb2 Mn2 Pt2'
_cell_length_a 3.060
_cell_length_b 3.926
_cell_length_c 12.864
_cell_angle_alpha 90.00
_cell_angle_beta 90.00
_cell_angle_gamma 90.00
_space_group_name_H-M_alt 'P m m a'
_space_group_IT_number 51
loop_
_space_group_symop_operation_xyz
'x,y,z'
'-x,-y,-z'
'-x+1/2,-y,z'
'x+1/2,y,-z'
'x+1/2,-y,-z'
'-x+1/2,y,z'
'-x,y,-z'
'x,-y,z'
loop_
_atom_site_label
_atom_site_type_symbol
_atom_site_fract_x
_atom_site_fract_y
_atom_site_fract_z
Rb1 Rb 0.250 0.000 0.189
Mn1 Mn 0.250 0.000 0.447
Pt1 Pt 0.250 0.500 0.616
```



| no. | final energy (eV/atom) |
| --- | --- |
| 1 | -6.4166 |
| 2 | -5.8145 |
| 3 | -7.8301 |
| 4 | -3.2692 |
| 5 | -6.6950 |
| 6 | -5.6216 |
| 7 | -4.8951 |
| 8 | -9.9693 |
| 9 | -2.7688 |
| 10 | -5.2182 |
| 11 | -5.1147 |